Record 1
Computed, not measured: crystalline GaSCl2F at its relaxed geometry at the PBE-GGA level of DFT.

Cell lengths 4.681, 4.681, 5.033 Å; angles 90.00, 90.00, 90.00 degrees
Last column: magnetic moment on the atom in μB.
Sites, in units of the cell vectors:
Cl  0.500  0.000  0.000  0.06
Cl  0.000  0.500  0.000  0.06
S  0.000  0.000  0.500  0.91
F  0.500  0.500  0.500  0.47
Ga  0.000  0.000  0.000  -0.02

* formation energy (no corrections): -0.15 eV per atom
* size of the total moment: 2.1 μB/f.u.
* total energy: -2.691 eV per atom
* crystal system: tetragonal

---

Record 2
Computed, not measured: crystalline GaS2ClF at its relaxed geometry at the PBE-GGA level of DFT.

Cell lengths 4.149, 4.149, 6.491 Å; angles 90.00, 90.00, 90.00 degrees
Last column: magnetic moment on the atom in μB.
Sites, in units of the cell vectors:
Ga  0.500  0.500  0.500  0.01
S  0.000  0.500  0.000  0.08
S  0.500  0.000  0.000  0.08
Cl  0.000  0.000  0.500  0.01
F  0.000  0.000  0.000  0.01

* formation energy (no corrections): 0.29 eV per atom
* size of the total moment: 0.3 μB/f.u.
* total energy: -2.711 eV per atom
* crystal system: tetragonal

---

Record 3
Computed, not measured: crystalline GaS2ClF at its relaxed geometry at the PBE-GGA level of DFT.

Cell lengths 4.821, 4.821, 4.731 Å; angles 90.00, 90.00, 90.00 degrees
Last column: magnetic moment on the atom in μB.
Sites, in units of the cell vectors:
Ga  0.000  0.000  0.000  -0.04
Cl  0.000  0.000  0.500  0.13
S  0.000  0.500  0.000  0.78
S  0.500  0.000  0.000  0.78
F  0.500  0.500  0.500  0.45

* formation energy (no corrections): 0.18 eV per atom
* size of the total moment: 3.0 μB/f.u.
* total energy: -2.818 eV per atom
* crystal system: tetragonal

---

Record 4
Computed, not measured: crystalline GaSCl2F at its relaxed geometry at the PBE-GGA level of DFT.

Cell lengths 5.629, 5.629, 3.655 Å; angles 90.00, 90.00, 90.00 degrees
Last column: magnetic moment on the atom in μB.
Sites, in units of the cell vectors:
F  0.000  0.000  0.000  0.07
Ga  0.500  0.500  0.500  0.00
Cl  0.000  0.500  0.000  0.12
Cl  0.500  0.000  0.000  0.12
S  0.000  0.000  0.500  0.58

* formation energy (no corrections): 0.02 eV per atom
* size of the total moment: 1.3 μB/f.u.
* total energy: -2.522 eV per atom
* crystal system: tetragonal

---

Record 5
Computed, not measured: crystalline GaSnClF2 at its relaxed geometry at the PBE-GGA level of DFT.

Cell lengths 4.523, 5.264, 4.523 Å; angles 90.00, 90.00, 90.00 degrees
Sites, in units of the cell vectors:
Sn  0.000  0.500  0.000
Ga  0.500  0.500  0.500
F  0.500  0.000  0.000
F  0.000  0.000  0.500
Cl  0.000  0.000  0.000

* formation energy (no corrections): -0.34 eV per atom
* size of the total moment: 0.0 μB/f.u.
* total energy: -2.864 eV per atom
* crystal system: tetragonal

---

Record 6
Computed, not measured: crystalline SrGaClF4 at its relaxed geometry at the PBE-GGA level of DFT.

Cell lengths 6.612, 6.612, 7.325 Å; angles 76.39, 76.39, 71.70 degrees
Sites, in units of the cell vectors:
F  0.128  0.486  0.152
F  0.514  0.872  0.848
F  0.458  0.458  0.810
F  0.872  0.514  0.848
F  0.542  0.542  0.190
F  0.308  0.308  0.518
F  0.692  0.692  0.482
F  0.486  0.128  0.152
Cl  0.018  0.018  0.241
Cl  0.982  0.982  0.759
Ga  0.368  0.368  0.264
Ga  0.632  0.632  0.736
Sr  0.789  0.789  0.122
Sr  0.211  0.211  0.878

* formation energy (no corrections): -2.83 eV per atom
* size of the total moment: 0.0 μB/f.u.
* total energy: -4.831 eV per atom
* crystal system: monoclinic

---

Record 7
Computed, not measured: crystalline TiGa2Cl4F2 at its relaxed geometry at the PBE-GGA level of DFT.

Cell lengths 5.618, 7.052, 7.052 Å; angles 61.27, 78.31, 78.31 degrees
Sites, in units of the cell vectors:
F  0.789  0.885  0.885
F  0.211  0.115  0.115
Ga  0.185  0.759  0.759
Ga  0.815  0.241  0.241
Cl  0.667  0.332  0.866
Cl  0.333  0.668  0.134
Cl  0.333  0.134  0.668
Cl  0.667  0.866  0.332
Ti  0.500  0.000  0.000

* formation energy (no corrections): -1.67 eV per atom
* size of the total moment: 0.0 μB/f.u.
* total energy: -4.455 eV per atom
* crystal system: monoclinic

---

Record 8
Computed, not measured: crystalline Tl2GaClF at its relaxed geometry at the PBE-GGA level of DFT.

Cell lengths 5.605, 4.206, 5.605 Å; angles 90.00, 90.00, 90.00 degrees
Sites, in units of the cell vectors:
Tl  0.000  0.000  0.500
Tl  0.500  0.000  0.000
Ga  0.000  0.000  0.000
F  0.000  0.500  0.000
Cl  0.500  0.500  0.500

* formation energy (no corrections): -0.88 eV per atom
* size of the total moment: 0.0 μB/f.u.
* total energy: -3.178 eV per atom
* crystal system: tetragonal

---

Record 9
Computed, not measured: crystalline TlGaCl2F at its relaxed geometry at the PBE-GGA level of DFT.

Cell lengths 5.191, 8.597, 5.191 Å; angles 90.00, 90.00, 90.00 degrees
Sites, in units of the cell vectors:
Ga  0.000  0.500  0.000
Tl  0.000  0.000  0.000
Cl  0.000  0.000  0.500
Cl  0.500  0.000  0.000
F  0.500  0.500  0.500

* formation energy (no corrections): -0.41 eV per atom
* size of the total moment: 0.0 μB/f.u.
* total energy: -2.602 eV per atom
* crystal system: tetragonal

---

Record 10
Computed, not measured: crystalline TlGaClF2 at its relaxed geometry at the PBE-GGA level of DFT.

Cell lengths 4.381, 4.381, 5.209 Å; angles 90.00, 90.00, 90.00 degrees
Sites, in units of the cell vectors:
Ga  0.000  0.000  0.000
F  0.500  0.000  0.000
F  0.000  0.500  0.000
Cl  0.000  0.000  0.500
Tl  0.500  0.500  0.500

* formation energy (no corrections): -1.58 eV per atom
* size of the total moment: 0.0 μB/f.u.
* total energy: -3.773 eV per atom
* crystal system: tetragonal

---

Record 11
Computed, not measured: crystalline Tl2GaClF at its relaxed geometry at the PBE-GGA level of DFT.

Cell lengths 6.046, 5.297, 6.046 Å; angles 90.00, 90.00, 90.00 degrees
Sites, in units of the cell vectors:
Tl  0.500  0.000  0.000
Tl  0.000  0.000  0.500
Ga  0.000  0.500  0.000
Cl  0.000  0.000  0.000
F  0.500  0.500  0.500

* formation energy (no corrections): -0.39 eV per atom
* size of the total moment: 0.0 μB/f.u.
* total energy: -2.686 eV per atom
* crystal system: tetragonal

---

Record 12
Computed, not measured: crystalline TlGaCl2F at its relaxed geometry at the PBE-GGA level of DFT.

Cell lengths 5.280, 5.280, 4.182 Å; angles 90.00, 90.00, 90.00 degrees
Sites, in units of the cell vectors:
Tl  0.500  0.500  0.500
Cl  0.500  0.000  0.000
Cl  0.000  0.500  0.000
Ga  0.000  0.000  0.000
F  0.000  0.000  0.500

* formation energy (no corrections): -1.28 eV per atom
* size of the total moment: 0.0 μB/f.u.
* total energy: -3.467 eV per atom
* crystal system: tetragonal

---

Record 13
Computed, not measured: crystalline ZrGaCl2F at its relaxed geometry at the PBE-GGA level of DFT.

Cell lengths 5.480, 4.032, 5.480 Å; angles 90.00, 90.00, 90.00 degrees
Last column: magnetic moment on the atom in μB.
Sites, in units of the cell vectors:
F  0.000  0.000  0.000  -0.01
Cl  0.500  0.000  0.000  0.01
Cl  0.000  0.000  0.500  0.01
Ga  0.500  0.500  0.500  0.07
Zr  0.000  0.500  0.000  1.12

* formation energy (no corrections): -0.94 eV per atom
* size of the total moment: 2.0 μB/f.u.
* total energy: -4.367 eV per atom
* crystal system: tetragonal

---

Record 14
Computed, not measured: crystalline GdClF at its relaxed geometry at the PBE-GGA level of DFT.

Cell lengths 4.182, 4.182, 3.651 Å; angles 90.00, 90.00, 120.00 degrees
Last column: magnetic moment on the atom in μB.
Sites, in units of the cell vectors:
Gd  0.667  0.333  0.500  6.76
Cl  0.000  0.000  0.000  0.00
F  0.333  0.667  0.500  -0.01

* formation energy (no corrections): -2.67 eV per atom
* size of the total moment: 6.8 μB/f.u.
* total energy: -8.601 eV per atom
* crystal system: hexagonal

---

Record 15
Computed, not measured: crystalline GdClF at its relaxed geometry at the PBE-GGA level of DFT.

Cell lengths 3.339, 3.339, 5.457 Å; angles 107.82, 107.82, 90.00 degrees
Last column: magnetic moment on the atom in μB.
Sites, in units of the cell vectors:
Gd  0.693  0.693  0.386  6.96
F  0.292  0.292  0.584  0.01
Cl  0.015  0.015  0.029  -0.01

* formation energy (no corrections): -2.49 eV per atom
* size of the total moment: 7.1 μB/f.u.
* total energy: -8.423 eV per atom
* crystal system: tetragonal

---

Record 16
Computed, not measured: crystalline GdClF2 at its relaxed geometry at the PBE-GGA level of DFT.

Cell lengths 3.953, 3.953, 5.470 Å; angles 68.82, 68.82, 60.00 degrees
Last column: magnetic moment on the atom in μB.
Sites, in units of the cell vectors:
F  0.702  0.702  0.893  0.01
F  0.298  0.298  0.107  0.01
Gd  0.000  0.000  0.000  6.92
Cl  0.500  0.500  0.500  -0.01

* formation energy (no corrections): -3.27 eV per atom
* size of the total moment: 7.0 μB/f.u.
* total energy: -8.191 eV per atom
* crystal system: trigonal

---

Record 17
Computed, not measured: crystalline GeClF at its relaxed geometry at the PBE-GGA level of DFT.

Cell lengths 4.556, 3.766, 8.544 Å; angles 90.00, 92.62, 90.00 degrees
Sites, in units of the cell vectors:
F  0.492  0.000  0.969
F  0.492  0.500  0.469
Cl  0.046  0.500  0.779
Cl  0.046  0.000  0.279
Ge  0.419  0.000  0.759
Ge  0.419  0.500  0.259

* formation energy (no corrections): -1.38 eV per atom
* size of the total moment: 0.0 μB/f.u.
* total energy: -4.163 eV per atom
* crystal system: monoclinic

---

Record 18
Computed, not measured: crystalline GeClF at its relaxed geometry at the PBE-GGA level of DFT.

Cell lengths 4.441, 4.466, 7.316 Å; angles 90.00, 91.74, 90.00 degrees
Sites, in units of the cell vectors:
Cl  0.248  0.929  0.667
Cl  0.752  0.429  0.333
F  0.316  0.478  0.999
F  0.684  0.978  0.001
Ge  0.616  0.653  0.815
Ge  0.384  0.153  0.185

* formation energy (no corrections): -1.44 eV per atom
* size of the total moment: 0.0 μB/f.u.
* total energy: -4.214 eV per atom
* crystal system: monoclinic

---

Record 19
Computed, not measured: crystalline GeCl3F at its relaxed geometry at the PBE-GGA level of DFT.

Cell lengths 11.307, 5.334, 9.522 Å; angles 106.27, 126.42, 90.00 degrees
Sites, in units of the cell vectors:
Cl  0.749  0.728  0.500
Cl  0.357  0.598  0.255
Cl  0.101  0.402  0.745
Cl  0.601  0.843  0.745
Cl  0.249  0.272  0.500
Cl  0.857  0.157  0.255
F  0.066  0.835  0.500
F  0.566  0.165  0.500
Ge  0.569  0.838  0.500
Ge  0.069  0.162  0.500

* formation energy (no corrections): -1.29 eV per atom
* size of the total moment: 0.0 μB/f.u.
* total energy: -3.694 eV per atom
* crystal system: orthorhombic

---

Record 20
Computed, not measured: crystalline GeCl3F at its relaxed geometry at the PBE-GGA level of DFT.

Cell lengths 4.699, 4.699, 4.699 Å; angles 90.00, 90.00, 90.00 degrees
Sites, in units of the cell vectors:
Cl  0.000  0.500  0.000
Cl  0.500  0.000  0.000
Cl  0.000  0.000  0.500
F  0.000  0.000  0.000
Ge  0.500  0.500  0.500

* formation energy (no corrections): 0.20 eV per atom
* size of the total moment: 0.0 μB/f.u.
* total energy: -2.204 eV per atom
* crystal system: cubic

---

Record 21
Computed, not measured: crystalline GeClF4 at its relaxed geometry at the PBE-GGA level of DFT.

Cell lengths 3.816, 3.835, 13.747 Å; angles 90.00, 97.98, 90.00 degrees
Sites, in units of the cell vectors:
Cl  0.250  0.570  0.500
Cl  0.750  0.070  0.500
F  0.095  0.573  0.190
F  0.468  0.072  0.935
F  0.905  0.073  0.810
F  0.658  0.572  0.316
F  0.532  0.572  0.065
F  0.595  0.073  0.191
F  0.405  0.573  0.809
F  0.342  0.072  0.684
Ge  0.595  0.573  0.190
Ge  0.405  0.073  0.810

* formation energy (no corrections): -1.82 eV per atom
* size of the total moment: 0.0 μB/f.u.
* total energy: -4.145 eV per atom
* crystal system: orthorhombic

---

Record 22
Computed, not measured: crystalline Ge2ClF2 at its relaxed geometry at the PBE-GGA level of DFT.

Cell lengths 7.648, 7.648, 2.973 Å; angles 90.00, 90.00, 90.00 degrees
Sites, in units of the cell vectors:
Ge  0.298  0.798  0.000
Ge  0.202  0.298  0.000
Ge  0.702  0.202  0.000
Ge  0.798  0.702  0.000
F  0.353  0.147  0.500
F  0.647  0.853  0.500
F  0.147  0.647  0.500
F  0.853  0.353  0.500
Cl  0.000  0.000  0.000
Cl  0.500  0.500  0.000

* formation energy (no corrections): -1.06 eV per atom
* size of the total moment: 0.0 μB/f.u.
* total energy: -4.024 eV per atom
* crystal system: tetragonal

---

Record 23
Computed, not measured: crystalline Ge2ClF3 at its relaxed geometry at the PBE-GGA level of DFT.

Cell lengths 3.992, 7.978, 8.654 Å; angles 117.39, 90.00, 104.49 degrees
Sites, in units of the cell vectors:
Ge  0.192  0.383  0.601
Ge  0.472  0.945  0.183
Ge  0.528  0.055  0.817
Ge  0.808  0.617  0.399
Cl  0.132  0.264  0.002
Cl  0.868  0.736  0.998
F  0.710  0.421  0.517
F  0.925  0.851  0.612
F  0.406  0.812  0.311
F  0.594  0.188  0.689
F  0.290  0.579  0.483
F  0.075  0.149  0.388

* formation energy (no corrections): -1.74 eV per atom
* size of the total moment: 0.0 μB/f.u.
* total energy: -4.521 eV per atom
* crystal system: monoclinic

---

Record 24
Computed, not measured: crystalline GeClF at its relaxed geometry at the PBE-GGA level of DFT.

Cell lengths 3.946, 3.946, 5.853 Å; angles 109.70, 109.70, 90.00 degrees
Sites, in units of the cell vectors:
Cl  0.008  0.008  0.015
F  0.335  0.335  0.670
Ge  0.508  0.508  0.015

* formation energy (no corrections): -1.36 eV per atom
* size of the total moment: 0.0 μB/f.u.
* total energy: -4.136 eV per atom
* crystal system: tetragonal

---

Record 25
Computed, not measured: crystalline GeClF3 at its relaxed geometry at the PBE-GGA level of DFT.

Cell lengths 3.120, 7.027, 7.769 Å; angles 90.00, 90.00, 90.00 degrees
Sites, in units of the cell vectors:
F  0.500  0.024  0.250
F  0.000  0.787  0.409
F  0.000  0.787  0.091
F  0.000  0.213  0.591
F  0.500  0.976  0.750
F  0.000  0.213  0.909
Ge  0.500  0.778  0.250
Ge  0.500  0.222  0.750
Cl  0.500  0.476  0.250
Cl  0.500  0.524  0.750

* formation energy (no corrections): -1.85 eV per atom
* size of the total moment: 0.0 μB/f.u.
* total energy: -4.261 eV per atom
* crystal system: orthorhombic

---

Record 26
Computed, not measured: crystalline GeCl3F6 at its relaxed geometry at the PBE-GGA level of DFT.

Cell lengths 5.880, 6.311, 5.325 Å; angles 90.16, 90.00, 117.77 degrees
Last column: magnetic moment on the atom in μB.
Sites, in units of the cell vectors:
F  0.199  0.840  0.680  0.03
F  0.378  0.755  0.277  0.00
F  0.359  0.160  0.320  0.03
F  0.622  0.245  0.723  0.00
F  0.801  0.160  0.320  0.03
F  0.641  0.840  0.680  0.03
Cl  0.827  0.655  0.154  0.20
Cl  0.173  0.345  0.846  0.20
Cl  0.000  0.000  0.000  0.34
Ge  0.500  0.000  0.500  0.00

* formation energy (no corrections): -1.12 eV per atom
* size of the total moment: 1.0 μB/f.u.
* total energy: -3.256 eV per atom
* crystal system: monoclinic